# GGA-PBEsol ZnReRu2, optimized geometry
data_ZnReRu2
_chemical_formula_sum 'Zn2 Re2 Ru4'
_cell_length_a 2.810
_cell_length_b 4.524
_cell_length_c 8.758
_cell_angle_alpha 90.00
_cell_angle_beta 90.00
_cell_angle_gamma 90.00
_symmetry_space_group_name_H-M 'P 1'
_symmetry_Int_Tables_number 1
loop_
_symmetry_equiv_pos_as_xyz
'x,y,z'
loop_
_atom_site_label
_atom_site_fract_x
_atom_site_fract_y
_atom_site_fract_z
Zn1 0.000 0.000 0.000
Zn2 0.500 0.500 0.000
Re1 0.000 0.000 0.500
Re2 0.500 0.500 0.500
Ru1 0.000 0.500 0.249
Ru2 0.000 0.500 0.751
Ru3 0.500 0.000 0.249
Ru4 0.500 0.000 0.751
# - Calculated density: 13.5 Mg/m³
# - Formation energy: 0.27 eV per atom
# - Uncorrected energy: -0.31414 hartree per atom
# - Density of states at the Fermi level: 0.978 states/eV per atom



# GGA-PBEsol ZnReRu2, optimized geometry
data_ZnReRu2
_chemical_formula_sum 'Zn1 Re1 Ru2'
_cell_length_a 2.769
_cell_length_b 2.769
_cell_length_c 7.119
_cell_angle_alpha 90.00
_cell_angle_beta 90.00
_cell_angle_gamma 90.00
_symmetry_space_group_name_H-M 'P 1'
_symmetry_Int_Tables_number 1
loop_
_symmetry_equiv_pos_as_xyz
'x,y,z'
loop_
_atom_site_label
_atom_site_fract_x
_atom_site_fract_y
_atom_site_fract_z
Zn1 0.000 0.000 0.000
Re1 0.000 0.000 0.500
Ru1 0.500 0.500 0.249
Ru2 0.500 0.500 0.751
# - Calculated density: 13.8 Mg/m³
# - Formation energy: 0.01 eV per atom
# - Uncorrected energy: -0.32373 hartree per atom
# - Density of states at the Fermi level: 1.063 states/eV per atom



# GGA-PBEsol ZnReRu2, optimized geometry
data_ZnReRu2
_chemical_formula_sum 'Zn1 Re1 Ru2'
_cell_length_a 2.714
_cell_length_b 3.917
_cell_length_c 5.122
_cell_angle_alpha 90.00
_cell_angle_beta 90.00
_cell_angle_gamma 90.00
_symmetry_space_group_name_H-M 'P 1'
_symmetry_Int_Tables_number 1
loop_
_symmetry_equiv_pos_as_xyz
'x,y,z'
loop_
_atom_site_label
_atom_site_fract_x
_atom_site_fract_y
_atom_site_fract_z
Zn1 0.000 0.000 0.000
Re1 0.500 0.500 0.263
Ru1 0.000 0.000 0.499
Ru2 0.500 0.500 0.781
# - Calculated density: 13.8 Mg/m³
# - Formation energy: 0.12 eV per atom
# - Uncorrected energy: -0.31943 hartree per atom
# - Density of states at the Fermi level: 0.779 states/eV per atom